Li2Dy2Ga3 PBE-GGA optimized geometry; DOS at the Fermi energy = 1.0014 states/eV per atom; spin magnetization = 0.0 μB/f.u.; formation energy = -424 meV/atom; uncorrected energy = -3.583 eV/atom
1.0
-0.6546 0.5896 -4.1672
-6.9595 -0.6393 1.0029
-0.3276 9.0747 3.5121
Dy Li Ga
4 4 6
Cartesian
-5.2899 0.5268 0.9056
-2.6517 8.4981 -0.5578
-6.0007 6.3081 -0.3415
-1.9409 2.7169 0.6893
-7.1163 3.2254 -0.6024
-3.4705 5.5565 1.3313
-0.8253 5.7995 0.9502
-4.4712 3.4684 -0.9836
-2.4274 5.2892 -1.0470
-3.4001 1.1440 -1.4807
-5.5142 3.7358 1.3948
-0.8915 1.3744 -1.8422
-4.5416 7.8810 1.8285
-7.0502 7.6505 2.1900



Li2DyGa2 PBE-GGA optimized geometry; energy above the lowest structure with this stoichiometry = 0.000 eV per atom; DOS at the Fermi energy = 0.4541 states/eV per atom; spin magnetization = 0.0 μB/f.u.; formation energy = -385 meV/atom; uncorrected energy = -3.282 eV/atom
1.0
-3.7580 0.4653 2.3656
0.9068 -2.7667 1.9848
7.3942 8.8260 5.7967
Ga Li Dy
4 4 2
Cartesian
4.2937 6.5046 5.5415
1.4679 1.5869 6.2332
0.2494 0.0199 4.6057
3.0752 4.9377 3.9139
-1.1209 0.2243 2.3887
5.6640 6.3003 7.7584
1.3598 -1.2010 2.3964
3.1833 7.7256 7.7507
2.2941 1.9669 3.2575
2.2490 4.5577 6.8896



Li2DyGa6 PBE-GGA optimized geometry; energy above the lowest structure with this stoichiometry = 0.033 eV per atom; DOS at the Fermi energy = 0.3507 states/eV per atom; spin magnetization = 0.0 μB/f.u.; formation energy = -298 meV/atom; uncorrected energy = -3.253 eV/atom
1.0
3.9399 0.0000 0.0000
1.9699 6.9976 0.7433
1.9699 2.7213 6.4895
Dy Ga Li
1 6 2
Cartesian
3.9399 4.8594 3.6164
1.9699 2.2260 3.3008
1.9699 6.2597 1.7347
1.9699 3.4591 5.4980
5.9098 7.4929 3.9319
1.9699 3.8010 1.1844
5.9098 5.9178 6.0483
1.9699 1.1593 0.8628
5.9098 8.5595 6.3700



Li2DyGa PBE-GGA optimized geometry; energy above the lowest structure with this stoichiometry = 0.147 eV per atom; DOS at the Fermi energy = 1.3459 states/eV per atom; spin magnetization = 0.5 μB/f.u.; formation energy = -122 meV/atom; uncorrected energy = -2.986 eV/atom
1.0
4.8783 0.0000 0.0000
0.0000 4.2336 0.0000
0.0000 0.0000 4.2336
Li Dy Ga
2 1 1
Cartesian
0.0000 0.0000 2.1168
0.0000 2.1168 0.0000
2.4392 0.0000 0.0000
2.4392 2.1168 2.1168



LiDy2Ga12 PBE-GGA optimized geometry; DOS at the Fermi energy = 0.2589 states/eV per atom; spin magnetization = 0.0 μB/f.u.; formation energy = -302 meV/atom; uncorrected energy = -3.465 eV/atom
1.0
6.1531 0.0000 0.0000
0.0000 6.1531 0.0000
0.0000 0.0000 15.0317
Dy Ga Li
4 24 2
Cartesian
3.0766 0.0000 3.6607
3.0766 0.0000 11.3709
0.0000 3.0766 11.3709
0.0000 3.0766 3.6607
2.0554 1.0212 8.5806
3.0766 3.0766 2.7424
0.0000 0.0000 5.1757
2.0554 5.1320 6.4511
1.5424 1.5342 1.3137
3.0766 3.0766 12.2893
4.6190 1.5424 1.3137
1.5342 1.5424 13.7180
5.1320 4.0977 6.4511
4.6107 4.6190 1.3137
1.0212 2.0554 6.4511
1.5424 4.6190 13.7180
3.0766 3.0766 9.8559
0.0000 0.0000 2.7424
4.6190 4.6107 13.7180
4.0977 1.0212 6.4511
0.0000 0.0000 12.2893
1.5342 4.6107 1.3137
0.0000 0.0000 9.8559
3.0766 3.0766 5.1757
1.0212 4.0977 8.5806
5.1320 2.0554 8.5806
4.0977 5.1320 8.5806
4.6107 1.5342 13.7180
0.0000 3.0766 0.0000
3.0766 0.0000 0.0000



LiDyGa2 PBE-GGA optimized geometry; energy above the lowest structure with this stoichiometry = 0.041 eV per atom; DOS at the Fermi energy = 0.3422 states/eV per atom; spin magnetization = 0.0 μB/f.u.; formation energy = -440 meV/atom; uncorrected energy = -3.582 eV/atom
1.0
3.7896 0.0000 0.0000
0.0000 7.3087 0.0000
0.0000 0.0000 11.5764
Li Ga Dy
4 8 4
Cartesian
0.9474 0.8626 6.3175
2.8422 6.4461 5.2589
0.9474 4.5169 11.0470
2.8422 2.7918 0.5293
0.9474 0.2393 3.8008
0.9474 1.3605 1.5382
0.9474 3.8936 1.9874
0.9474 5.0148 4.2500
2.8422 5.9482 10.0382
2.8422 3.4151 9.5890
2.8422 2.2939 7.3264
2.8422 7.0694 7.7756
0.9474 1.0259 9.9551
0.9474 4.6802 7.4094
2.8422 2.6285 4.1669
2.8422 6.2828 1.6212



LiDyGa6 PBE-GGA optimized geometry; energy above the lowest structure with this stoichiometry = 0.000 eV per atom; DOS at the Fermi energy = 0.4905 states/eV per atom; spin magnetization = 0.0 μB/f.u.; formation energy = -332 meV/atom; uncorrected energy = -3.416 eV/atom
1.0
-1.4741 -3.2827 2.2032
-1.8740 -1.4903 -3.4743
6.7396 -4.2444 -1.8147
Ga Li Dy
6 1 1
Cartesian
4.1861 -4.7419 -0.2240
1.0793 -2.7853 0.6126
0.8794 -1.8891 -2.2262
-1.6741 -2.3865 -0.6355
1.6957 -4.5087 -1.5429
3.9862 -3.8457 -3.0628
3.3698 -2.1222 -0.9073
0.0000 0.0000 0.0000



LiDyGa2 PBE-GGA optimized geometry; energy above the lowest structure with this stoichiometry = 0.037 eV per atom; DOS at the Fermi energy = 0.1079 states/eV per atom; spin magnetization = 0.0 μB/f.u.; formation energy = -443 meV/atom; uncorrected energy = -3.585 eV/atom
1.0
3.6490 0.0000 0.0000
0.0000 4.7201 0.0000
0.0000 0.0000 4.7201
Dy Ga Li
1 2 1
Cartesian
1.8245 2.3600 2.3600
0.0000 0.0000 2.3600
0.0000 2.3600 0.0000
1.8245 0.0000 0.0000



LiDyGa2 PBE-GGA optimized geometry; energy above the lowest structure with this stoichiometry = 0.044 eV per atom; DOS at the Fermi energy = 0.4903 states/eV per atom; spin magnetization = 0.0 μB/f.u.; formation energy = -436 meV/atom; uncorrected energy = -3.579 eV/atom
1.0
-0.4877 -0.8098 3.2249
-3.1635 -0.8906 -0.7020
2.0614 -6.3175 -1.2747
Ga Li Dy
2 1 1
Cartesian
0.4211 -1.2904 -0.2604
1.6404 -5.0271 -1.0143
-1.8256 -0.8502 1.2614
-0.7948 -4.0090 0.6241



Li4DyGa PBE-GGA optimized geometry; DOS at the Fermi energy = 0.2501 states/eV per atom; spin magnetization = 0.0 μB/f.u.; formation energy = -82 meV/atom; uncorrected energy = -2.630 eV/atom
1.0
-1.2555 -0.8423 -5.1519
-4.0295 -3.3116 -1.2744
-4.5691 1.9798 -2.0080
Dy Li Ga
1 4 1
Cartesian
-2.4635 -0.5435 -2.1086
-5.5385 -0.9358 -2.6769
-4.1345 0.3139 -4.6393
-6.1739 -1.3621 -5.2843
-3.8615 -2.3641 -4.2680
0.0000 0.0000 0.0000



Li2DyGa4 PBE-GGA optimized geometry; DOS at the Fermi energy = 0.5109 states/eV per atom; spin magnetization = 0.0 μB/f.u.; formation energy = -377 meV/atom; uncorrected energy = -3.311 eV/atom
1.0
4.2463 0.0000 -0.9681
-0.1760 3.3035 -0.7718
-0.0705 0.4659 9.4868
Ga Li Dy
4 2 1
Cartesian
2.6298 2.2927 1.7379
3.8003 1.8078 6.8718
1.3700 1.4768 6.0090
0.1995 1.9617 0.8751
0.7824 0.8433 3.4314
3.2174 2.9261 4.3155
2.1231 0.0000 -0.4841



Li2DyGa6 PBE-GGA optimized geometry; energy above the lowest structure with this stoichiometry = 0.000 eV per atom; DOS at the Fermi energy = 0.3273 states/eV per atom; spin magnetization = 0.0 μB/f.u.; formation energy = -331 meV/atom; uncorrected energy = -3.286 eV/atom
1.0
-1.0778 2.9807 1.2623
-6.8024 -1.0840 -3.2484
1.2908 -2.5265 7.0676
Ga Dy Li
6 1 2
Cartesian
-5.0448 0.7723 -1.5206
-2.8354 1.1244 -0.4655
-0.1031 0.6374 3.0172
-4.1898 -0.9012 3.1610
0.3161 -0.1832 5.3127
-2.3996 0.2714 1.9205
1.2908 -2.5265 7.0676
-1.4070 -2.0456 3.6289
-5.1825 1.4158 1.4526



Li3DyGa3 PBE-GGA optimized geometry; energy above the lowest structure with this stoichiometry = 0.000 eV per atom; DOS at the Fermi energy = 0.3033 states/eV per atom; spin magnetization = 0.0 μB/f.u.; formation energy = -336 meV/atom; uncorrected energy = -3.111 eV/atom
1.0
4.4375 0.0000 0.0000
0.0000 7.2914 -4.1634
0.0000 -0.0258 8.4232
Ga Li Dy
6 6 2
Cartesian
3.3281 6.7576 -0.5986
1.1094 2.8077 2.2575
1.1094 3.9254 5.5675
3.3281 4.4579 2.0023
3.3281 3.3402 -1.3077
1.1094 0.5080 4.8584
3.3281 1.8634 0.9031
3.3281 7.1095 2.1968
3.3281 5.5963 -2.9984
1.1094 0.1561 2.0630
1.1094 1.6693 7.2583
1.1094 5.4022 3.3567
3.3281 2.4206 4.2292
1.1094 4.8450 0.0306



Li2Dy3Ga9 PBE-GGA optimized geometry; DOS at the Fermi energy = 0.4608 states/eV per atom; spin magnetization = 0.0 μB/f.u.; formation energy = -514 meV/atom; uncorrected energy = -3.720 eV/atom
1.0
4.2310 0.0000 0.0000
2.1155 7.9827 0.1278
2.1155 1.9340 7.7460
Ga Dy Li
9 3 2
Cartesian
2.1155 2.2514 4.5494
6.3465 7.5454 7.6216
2.1155 2.3713 0.2523
2.1155 4.9583 3.9369
6.3465 9.1335 5.6214
6.3465 7.6653 3.3245
2.1155 0.7832 2.2524
2.1155 4.9413 1.1616
6.3465 4.9754 6.7122
0.0000 0.0000 0.0000
4.2310 6.8341 5.4263
4.2310 3.0826 2.4475
4.2310 3.7222 5.4937
4.2310 6.1944 2.3801



LiDy3Ga2 PBE-GGA optimized geometry; energy above the lowest structure with this stoichiometry = 0.122 eV per atom; DOS at the Fermi energy = 0.8386 states/eV per atom; spin magnetization = 0.0 μB/f.u.; formation energy = -295 meV/atom; uncorrected energy = -3.924 eV/atom
1.0
-5.6372 -1.9950 -1.6284
3.2987 -6.2981 -3.7038
1.6567 -0.6023 6.7965
Ga Dy Li
4 6 2
Cartesian
-2.9144 -1.7319 0.3544
0.5532 -4.0251 2.9532
2.2326 -7.1635 1.1099
-1.2350 -4.8703 -1.4889
-0.1802 -1.3317 2.0681
1.1653 -5.1868 -3.1559
1.5586 -4.4491 0.2421
-0.5016 -7.5637 -0.6038
-3.5038 -3.1063 -2.1763
-2.2404 -4.4463 1.2222
-0.6972 -2.1131 -1.3656
-1.6414 -6.1800 -3.9666



LiDy3Ga12 PBE-GGA optimized geometry; DOS at the Fermi energy = 0.2859 states/eV per atom; spin magnetization = 0.0 μB/f.u.; formation energy = -440 meV/atom; uncorrected energy = -3.693 eV/atom
1.0
4.2565 0.0000 0.0000
0.0000 4.2565 0.0000
0.0000 0.0000 16.6632
Ga Dy Li
12 3 1
Cartesian
2.1283 0.0000 6.1744
0.0000 2.1283 1.8315
0.0000 2.1283 10.4888
2.1283 2.1283 0.0000
2.1283 2.1283 8.3316
2.1283 0.0000 1.8315
0.0000 2.1283 6.1744
2.1283 2.1283 12.4994
0.0000 2.1283 14.8317
2.1283 0.0000 14.8317
2.1283 2.1283 4.1638
2.1283 0.0000 10.4888
0.0000 0.0000 4.0056
0.0000 0.0000 8.3316
0.0000 0.0000 12.6576
0.0000 0.0000 0.0000



LiDyGa2 PBE-GGA optimized geometry; energy above the lowest structure with this stoichiometry = 0.019 eV per atom; DOS at the Fermi energy = 0.2047 states/eV per atom; spin magnetization = 0.0 μB/f.u.; formation energy = -461 meV/atom; uncorrected energy = -3.604 eV/atom
1.0
-4.5992 -0.3178 1.3904
-1.0857 -0.2785 4.6830
-2.1106 3.7227 2.2077
Li Ga Dy
1 2 1
Cartesian
-3.8977 1.5632 4.1405
-5.8466 2.3448 6.2108
-1.9489 0.7816 2.0703
0.0000 0.0000 0.0000



Li2DyGa PBE-GGA optimized geometry; energy above the lowest structure with this stoichiometry = 0.000 eV per atom; DOS at the Fermi energy = 0.6402 states/eV per atom; spin magnetization = 0.0 μB/f.u.; formation energy = -269 meV/atom; uncorrected energy = -3.133 eV/atom
1.0
4.3167 0.0000 2.1418
1.6270 3.9983 2.1418
0.3057 0.2057 4.8047
Dy Ga Li
1 1 2
Cartesian
4.5228 3.0425 7.1473
2.9601 1.9913 4.8760
1.3980 0.9405 2.6032
5.7793 3.8878 4.6148



Li3DyGa3 PBE-GGA optimized geometry; energy above the lowest structure with this stoichiometry = 0.514 eV per atom; DOS at the Fermi energy = 0.4454 states/eV per atom; spin magnetization = 0.0 μB/f.u.; formation energy = 177 meV/atom; uncorrected energy = -2.598 eV/atom
1.0
6.6259 0.0000 0.0000
0.0000 6.6259 0.0000
0.0000 0.0000 6.6259
Ga Li Dy
6 6 2
Cartesian
3.3129 0.0000 4.9694
0.0000 4.9694 3.3129
3.3129 0.0000 1.6565
0.0000 1.6565 3.3129
4.9694 3.3129 0.0000
1.6565 3.3129 0.0000
1.6565 0.0000 3.3129
0.0000 3.3129 1.6565
3.3129 1.6565 0.0000
0.0000 3.3129 4.9694
4.9694 0.0000 3.3129
3.3129 4.9694 0.0000
3.3129 3.3129 3.3129
0.0000 0.0000 0.0000



LiDy3Ga3 PBE-GGA optimized geometry; DOS at the Fermi energy = 0.7915 states/eV per atom; spin magnetization = 0.0 μB/f.u.; formation energy = -509 meV/atom; uncorrected energy = -4.052 eV/atom
1.0
4.3340 0.0000 0.6529
2.1421 5.3829 0.4916
0.1610 -0.0269 13.6436
Ga Dy Li
6 6 2
Cartesian
4.1806 0.8002 1.6710
1.2603 1.6221 6.3458
2.4565 4.5559 13.1171
6.0191 4.4914 4.1787
0.6180 0.8646 10.6093
5.3768 3.7339 8.4422
4.1628 3.8606 1.7897
4.9223 3.9465 11.4598
3.0815 1.6551 8.9674
3.5556 3.7010 5.8207
2.4743 1.4954 12.9984
1.7148 1.4096 3.3283
3.5203 0.4277 6.0547
3.1168 4.9283 8.7333